Material: U2Ga2Se7
Method: DFT, PBE-GGA
State: relaxed

Output
**Formation energy from raw total energies**: -0.67 eV/atom
**D(E_F)**: 13.6 states/eV/f.u.
**Crystal system**: monoclinic
**Magnetization**: 8.0 Bohr magnetons per cell

Lattice parameters (Å, degrees): 9.1168 11.1451 6.6586 90.00 101.56 90.00
Closest atoms and distances in Å follow each position.
Space group C2/m (No. 12)
Asymmetric unit:
U  0.0000  0.1974  0.0000 [4 per cell]  6 Se 2.79-2.90
Ga  0.2348  0.5000  0.4038 [4 per cell]  4 Se 2.35-2.49
Se  0.0000  0.5000  0.5000 [2 per cell]  2 Ga 2.35
Se  0.1010  0.0000  0.2482 [4 per cell]  1 Ga 2.49
Se  0.2366  0.1876  0.7682 [8 per cell]  1 Ga 2.42



Material: U3GaSe6
Method: DFT, PBE-GGA
State: relaxed

Output
**Formation energy from raw total energies**: -0.98 eV/atom
**D(E_F)**: 18.1 states/eV/f.u.
**Crystal system**: orthorhombic
**Magnetization**: 28.0 Bohr magnetons per cell

Lattice parameters (Å, degrees): 10.9362 13.5548 7.2014 90.00 90.00 90.00
Closest atoms and distances in Å follow each position.
Space group Cmc2_1 (No. 36)
Asymmetric unit:
U  0.0000  0.0996  0.0000 [4 per cell]  7 Se 2.83-2.94
U  0.1807  0.3980  0.8937 [8 per cell]  7 Se 2.83-3.10
Ga  0.0000  0.3225  0.3766 [4 per cell]  4 Se 2.77-2.88
Se  0.0000  0.2657  0.7614 [4 per cell]  3 U 2.83, 1 Ga 2.88
Se  0.0000  0.4896  0.1383 [4 per cell]  2 Ga 2.84-3.17, 4 U 2.92-3.10
Se  0.1634  0.0360  0.6987 [8 per cell]  4 U 2.90-2.94
Se  0.1769  0.2311  0.1624 [8 per cell]  1 Ga 2.77, 3 U 2.87-2.98



Material: UGaSe2
Method: DFT, PBE-GGA
State: relaxed

Output
**Formation energy from raw total energies**: -0.74 eV/atom
**D(E_F)**: 3.4 states/eV/f.u.
**Crystal system**: trigonal
**Magnetization**: 9.0 Bohr magnetons per cell

Lattice parameters (Å, degrees): 4.0178 4.0178 23.1362 90.00 90.00 120.00
Closest atoms and distances in Å follow each position.
Space group R3m (No. 160, hexagonal axes)
Asymmetric unit:
U  0.0000  0.0000  0.0000 [3 per cell]  6 Se 2.89-2.90
Ga  0.0000  0.0000  0.1690 [3 per cell]  6 Se 3.10-3.19
Se  0.0000  0.0000  0.4079 [3 per cell]  3 U 2.89, 3 Ga 3.19
Se  0.0000  0.0000  0.5915 [3 per cell]  3 U 2.90, 3 Ga 3.10



Material: U2GaSe6
Method: DFT, PBE-GGA
State: relaxed

Output
**Formation energy from raw total energies**: -0.78 eV/atom
**D(E_F)**: 10.1 states/eV/f.u.
**Crystal system**: tetragonal
**Magnetization**: 5.4 Bohr magnetons per cell

Lattice parameters (Å, degrees): 6.4041 6.4041 12.5775 90.00 90.00 90.00
Closest atoms and distances in Å follow each position.
Space group P4_2/mnm (No. 136)
Asymmetric unit:
U  0.0000  0.0000  0.1667 [4 per cell]  6 Se 2.75-2.78
Ga  0.0000  0.0000  0.5000 [2 per cell]  6 Se 2.68-2.74
Se  0.1931  0.1931  0.3388 [8 per cell]  1 Ga 2.68, 2 U 2.78
Se  0.1972  0.1972  0.0000 [4 per cell]  1 Ga 2.74, 2 U 2.75



Material: VGa3Se
Method: DFT, PBE-GGA
State: relaxed

Output
**Formation energy from raw total energies**: 0.50 eV/atom
**E above lowest polymorph**: 0.00 eV/f.u.
**D(E_F)**: 6.3 states/eV/f.u.
**Crystal system**: cubic
**Magnetization**: 4.3 Bohr magnetons per cell

Lattice parameters (Å, degrees): 4.9882 4.9882 4.9882 90.00 90.00 90.00
Closest atoms and distances in Å follow each position.
Space group Pm-3m (No. 221)
Asymmetric unit:
V  0.0000  0.0000  0.0000 [1 per cell]  6 Ga 2.49
Ga  0.0000  0.0000  0.5000 [3 per cell]  2 V 2.49
Se  0.5000  0.5000  0.5000 [1 per cell]  12 Ga 3.53



Material: V2Ga2Se
Method: DFT, PBE-GGA
State: relaxed

Output
**Formation energy from raw total energies**: -0.11 eV/atom
**D(E_F)**: 4.4 states/eV/f.u.
**Crystal system**: tetragonal
**Magnetization**: 0.0 Bohr magnetons per cell

Lattice parameters (Å, degrees): 6.3703 6.3703 3.9438 90.00 90.00 90.00
Closest atoms and distances in Å follow each position.
Space group P4/mbm (No. 127)
Asymmetric unit:
V  0.1397  0.3603  0.0000 [4 per cell]  2 Se 2.46, 1 V 2.52, 6 Ga 2.71-2.72
Ga  0.1545  0.6545  0.5000 [4 per cell]  6 V 2.71-2.72, 1 Ga 2.78
Se  0.0000  0.0000  0.0000 [2 per cell]  4 V 2.46



Material: VGa4Se2
Method: DFT, PBE-GGA
State: relaxed

Output
**Formation energy from raw total energies**: 0.15 eV/atom
**D(E_F)**: 8.2 states/eV/f.u.
**Crystal system**: tetragonal
**Magnetization**: 7.4 Bohr magnetons per cell

Lattice parameters (Å, degrees): 5.1262 5.1262 13.6192 90.00 90.00 90.00
Closest atoms and distances in Å follow each position.
Space group I4/mmm (No. 139)
Asymmetric unit:
V  0.0000  0.0000  0.0000 [2 per cell]  6 Ga 2.52-2.56
Ga  0.0000  0.0000  0.1852 [4 per cell]  1 Se 2.38, 1 V 2.52
Ga  0.0000  0.5000  0.0000 [4 per cell]  2 V 2.56
Se  0.0000  0.0000  0.3599 [4 per cell]  1 Ga 2.38



Material: VGaSe2
Method: DFT, PBE-GGA
State: relaxed

Output
**Formation energy from raw total energies**: -0.32 eV/atom
**D(E_F)**: 2.0 states/eV/f.u.
**Crystal system**: tetragonal
**Magnetization**: 8.0 Bohr magnetons per cell

Lattice parameters (Å, degrees): 6.4630 6.4630 10.5824 90.00 90.00 90.00
Closest atoms and distances in Å follow each position.
Space group I-42d (No. 122)
Asymmetric unit:
V  0.0000  0.0000  0.0000 [4 per cell]  4 Se 2.43
Ga  0.0000  0.0000  0.5000 [4 per cell]  4 Se 2.89
Se  0.1912  0.2500  0.1250 [8 per cell]  2 V 2.43



Number 1: V 30.129 Å³ per atom. Number 2: V 26.688 Å³ per atom. Number 3: V 26.953 Å³ per atom. Number 4: V 28.658 Å³ per atom. Number 5: V 24.823 Å³ per atom. Number 6: V 16.004 Å³ per atom. Number 7: V 25.563 Å³ per atom. Number 8: V 27.627 Å³ per atom.